1.
The following is a DFT calculation (PBE) of crystalline SnSb2P2 at its relaxed geometry.

Cell and atoms, written as POSCAR:
```
SnSb2P2
1.0
-3.459 2.287 3.125
-3.793 -1.155 -3.353
-4.341 -3.564 2.118
Sb Sn P
2 1 2
direct
0.339 0.339 0.323
0.661 0.661 0.677
0.000 0.000 0.000
0.750 0.250 0.500
0.250 0.750 0.500
```

Excess energy over the best structure of this formula in the dataset in meV/atom: 95
D(E_F) in states/eV/atom: 0.5540

=====

2.
The following is a DFT calculation (PBE) of crystalline SnSb2P2 at its relaxed geometry.

Cell and atoms, written as POSCAR:
```
SnSb2P2
1.0
8.172 0.000 0.000
0.000 8.172 0.000
0.000 0.000 3.691
Sb Sn P
4 2 4
direct
0.157 0.657 0.500
0.657 0.843 0.500
0.843 0.343 0.500
0.343 0.157 0.500
0.000 0.000 0.000
0.500 0.500 0.000
0.313 0.813 0.000
0.813 0.687 0.000
0.687 0.187 0.000
0.187 0.313 0.000
```

Excess energy over the best structure of this formula in the dataset in meV/atom: 0
D(E_F) in states/eV/atom: 0.4981

=====

3.
The following is a DFT calculation (PBE) of crystalline Sr2SnSbP at its relaxed geometry.

Cell and atoms, written as POSCAR:
```
Sr2SnSbP
1.0
-0.510 2.112 3.914
4.525 -4.572 3.056
5.625 9.004 -4.124
Sr Sn Sb P
4 2 2 2
direct
0.750 0.777 0.631
0.750 0.766 0.987
0.250 0.223 0.369
0.250 0.234 0.013
0.250 0.439 0.779
0.750 0.561 0.221
0.250 0.735 0.388
0.750 0.265 0.612
0.250 0.827 0.822
0.750 0.173 0.178
```

E_tot in eV per cell: -41.59

=====

4.
The following is a DFT calculation (PBE) of crystalline SnSbTe2P at its relaxed geometry.

Cell and atoms, written as POSCAR:
```
SnSbTe2P
1.0
-5.291 0.596 -0.741
-0.123 -4.584 -2.806
-0.892 -2.596 4.279
Sb Te Sn P
1 2 1 1
direct
0.000 0.000 0.500
0.000 0.500 0.000
0.500 0.000 0.000
0.500 0.500 0.500
0.000 0.000 0.000
```

Excess energy over the best structure of this formula in the dataset in meV/atom: 0
D(E_F) in states/eV/atom: 0.6953

=====

5.
The following is a DFT calculation (PBE) of crystalline SnSbTe2P at its relaxed geometry.

Cell and atoms, written as POSCAR:
```
SnSbTe2P
1.0
5.641 0.000 0.000
0.000 5.641 0.000
0.000 0.000 5.783
Sb Te Sn P
1 2 1 1
direct
0.000 0.000 0.500
0.000 0.500 0.000
0.500 0.000 0.000
0.000 0.000 0.000
0.500 0.500 0.500
```

Excess energy over the best structure of this formula in the dataset in meV/atom: 726
D(E_F) in states/eV/atom: 1.4014

=====

6.
The following is a DFT calculation (PBE) of crystalline Th4SnSb2P at its relaxed geometry.

Cell and atoms, written as POSCAR:
```
Th4SnSb2P
1.0
4.390 0.000 0.000
0.000 7.665 0.152
0.000 -2.661 7.244
Th Sn Sb P
4 1 2 1
direct
0.500 0.261 0.236
0.500 0.739 0.764
0.000 0.273 0.775
0.000 0.727 0.225
0.000 0.000 0.000
0.500 0.000 0.500
0.000 0.500 0.500
0.500 0.500 0.000
```

E_tot in eV per cell: -54.83
D(E_F) in states/eV/atom: 0.6256

=====

7.
The following is a DFT calculation (PBE) of crystalline SnSbP2W at its relaxed geometry.

Cell and atoms, written as POSCAR:
```
SnSbP2W
1.0
4.833 0.000 0.000
0.000 5.451 0.000
0.000 0.000 4.833
Sb Sn W P
1 1 1 2
direct
0.000 0.500 0.000
0.000 0.000 0.000
0.500 0.500 0.500
0.000 0.000 0.500
0.500 0.000 0.000
```

E_tot in eV per cell: -21.64
D(E_F) in states/eV/atom: 1.7836

=====

8.
The following is a DFT calculation (PBE) of crystalline ZrSnSb2P at its relaxed geometry.

Cell and atoms, written as POSCAR:
```
ZrSnSb2P
1.0
5.501 0.000 0.000
0.000 5.636 0.000
0.000 0.000 5.501
Sb Sn Zr P
2 1 1 1
direct
0.000 0.000 0.500
0.500 0.000 0.000
0.000 0.500 0.000
0.000 0.000 0.000
0.500 0.500 0.500
```

E_tot in eV per cell: -22.51
D(E_F) in states/eV/atom: 0.6917

=====

9.
The following is a DFT calculation (PBE) of crystalline Sr2SbP at its relaxed geometry.

Cell and atoms, written as POSCAR:
```
Sr2SbP
1.0
2.273 5.969 -0.012
-2.273 5.969 -0.012
0.000 0.859 4.637
Sr Sb P
2 1 1
direct
0.998 0.998 0.870
0.267 0.267 0.385
0.711 0.711 0.929
0.524 0.524 0.317
```

Excess energy over the best structure of this formula in the dataset in meV/atom: 0
D(E_F) in states/eV/atom: 0.1455

=====

10.
The following is a DFT calculation (PBE) of crystalline SrSb2P2 at its relaxed geometry.

Cell and atoms, written as POSCAR:
```
SrSb2P2
1.0
-0.986 1.766 -4.901
-4.071 -3.374 -0.397
-5.996 6.803 3.659
Sr Sb P
2 4 4
direct
0.500 0.000 0.754
0.000 0.500 0.246
0.000 0.000 0.500
0.500 0.500 0.500
0.500 0.000 0.095
0.000 0.500 0.905
0.000 0.000 0.000
0.500 0.500 0.000
0.500 0.000 0.436
0.000 0.500 0.564
```

Excess energy over the best structure of this formula in the dataset in meV/atom: 84
D(E_F) in states/eV/atom: 0.6341

=====

11.
The following is a DFT calculation (PBE) of crystalline SrSb2P at its relaxed geometry.

Cell and atoms, written as POSCAR:
```
SrSb2P
1.0
7.935 -2.070 -0.002
7.935 2.070 -0.002
7.396 0.000 3.543
Sr Sb P
1 2 1
direct
0.511 0.511 0.511
0.990 0.990 0.990
0.740 0.740 0.740
0.259 0.259 0.259
```

E_tot in eV per cell: -16.59
D(E_F) in states/eV/atom: 0.6506

=====

12.
The following is a DFT calculation (PBE) of crystalline Sr4SbP at its relaxed geometry.

Cell and atoms, written as POSCAR:
```
Sr4SbP
1.0
7.547 0.000 0.001
0.001 7.536 -0.412
-3.774 -3.348 7.850
Sr Sb P
8 2 2
direct
0.366 0.866 0.732
0.634 0.633 0.268
0.634 0.134 0.268
0.366 0.367 0.732
0.866 0.866 0.732
0.134 0.634 0.268
0.134 0.134 0.268
0.866 0.366 0.732
0.750 0.750 0.000
0.250 0.250 0.000
0.500 0.000 0.500
0.000 0.500 0.500
```

Excess energy over the best structure of this formula in the dataset in meV/atom: 0
D(E_F) in states/eV/atom: 0.4974

=====

13.
The following is a DFT calculation (PBE) of crystalline Sr7Sb2P2 at its relaxed geometry.

Cell and atoms, written as POSCAR:
```
Sr7Sb2P2
1.0
-4.952 -0.579 5.613
-5.272 -2.384 -4.897
2.686 -6.991 0.513
Sr Sb P
7 2 2
direct
0.000 0.244 0.500
0.500 0.756 0.000
0.000 0.756 0.500
0.500 0.244 0.000
0.000 0.000 0.000
0.500 0.765 0.500
0.500 0.235 0.500
0.769 0.500 0.769
0.231 0.500 0.231
0.727 0.000 0.273
0.273 0.000 0.727
```

E_tot in eV per cell: -39.92
D(E_F) in states/eV/atom: 0.3638

=====

14.
The following is a DFT calculation (PBE) of crystalline Sr3SbP at its relaxed geometry.

Cell and atoms, written as POSCAR:
```
Sr3SbP
1.0
-1.766 5.165 1.312
-6.807 -1.407 -3.623
0.186 -2.220 8.993
Sr Sb P
6 2 2
direct
0.500 0.274 0.000
0.000 0.849 0.697
0.500 0.726 0.000
0.500 0.500 0.500
0.000 0.151 0.303
0.500 0.000 0.500
0.000 0.645 0.290
0.000 0.355 0.710
0.500 0.116 0.233
0.500 0.884 0.767
```

Excess energy over the best structure of this formula in the dataset in meV/atom: 102

=====

15.
The following is a DFT calculation (PBE) of crystalline SrSbP at its relaxed geometry.

Cell and atoms, written as POSCAR:
```
SrSbP
1.0
0.000 3.554 3.554
3.554 0.000 3.554
3.554 3.554 0.000
Sr Sb P
1 1 1
direct
0.500 0.500 0.500
0.000 0.000 0.000
0.250 0.250 0.250
```

Excess energy over the best structure of this formula in the dataset in meV/atom: 178
D(E_F) in states/eV/atom: 0.3217

=====

16.
The following is a DFT calculation (PBE) of crystalline SrSb2P2 at its relaxed geometry.

Cell and atoms, written as POSCAR:
```
SrSb2P2
1.0
-3.914 -0.238 1.939
-0.882 -3.660 -2.229
0.321 -5.669 4.888
Sb P Sr
2 2 1
direct
0.750 0.250 0.500
0.250 0.750 0.500
0.422 0.422 0.157
0.578 0.578 0.843
0.000 0.000 0.000
```

Excess energy over the best structure of this formula in the dataset in meV/atom: 0
D(E_F) in states/eV/atom: 0.3309

=====

17.
The following is a DFT calculation (PBE) of crystalline SrSbP2 at its relaxed geometry.

Cell and atoms, written as POSCAR:
```
SrSbP2
1.0
-2.980 -3.472 -2.359
2.134 -3.670 -2.911
-0.016 -4.892 1.603
P Sb Sr
2 1 1
direct
0.000 0.000 0.000
0.250 0.250 0.250
0.500 0.500 0.500
0.750 0.750 0.750
```

E_tot in eV per cell: -15.67
D(E_F) in states/eV/atom: 0.7867

=====

18.
The following is a DFT calculation (PBE) of crystalline SrSbP2 at its relaxed geometry.

Cell and atoms, written as POSCAR:
```
SrSbP2
1.0
-0.381 3.510 1.737
-3.927 -0.140 0.212
0.396 -2.709 5.561
P Sb Sr
2 1 1
direct
0.000 0.000 0.061
0.000 0.000 0.439
0.500 0.500 0.250
0.500 0.500 0.750
```

E_tot in eV per cell: -17.19
D(E_F) in states/eV/atom: 0.5034

=====

19.
The following is a DFT calculation (PBE) of crystalline Sr2SbP at its relaxed geometry.

Cell and atoms, written as POSCAR:
```
Sr2SbP
1.0
-7.517 -2.692 3.185
2.561 -8.162 -0.852
-1.168 -5.345 4.327
Sb P Sr
2 2 4
direct
0.000 0.000 0.000
0.750 0.250 0.500
0.500 0.500 0.000
0.250 0.750 0.500
0.587 0.125 0.250
0.163 0.625 0.250
0.375 0.413 0.750
0.875 0.837 0.750
```

Excess energy over the best structure of this formula in the dataset in meV/atom: 219
D(E_F) in states/eV/atom: 0.0912

=====

20.
The following is a DFT calculation (PBE) of crystalline Sr4SbP at its relaxed geometry.

Cell and atoms, written as POSCAR:
```
Sr4SbP
1.0
0.000 4.717 4.717
4.717 0.000 4.717
4.717 4.717 0.000
Sr Sb P
4 1 1
direct
0.875 0.375 0.375
0.375 0.375 0.875
0.375 0.875 0.375
0.375 0.375 0.375
0.000 0.000 0.000
0.750 0.750 0.750
```

Excess energy over the best structure of this formula in the dataset in meV/atom: 1048
D(E_F) in states/eV/atom: 0.2986

=====

21.
The following is a DFT calculation (PBE) of crystalline SrSbP2 at its relaxed geometry.

Cell and atoms, written as POSCAR:
```
SrSbP2
1.0
4.875 0.000 0.000
0.000 6.070 0.000
0.000 0.000 14.588
Sb P Sr
4 8 4
direct
0.750 0.418 0.047
0.250 0.918 0.453
0.250 0.582 0.953
0.750 0.082 0.547
0.750 0.016 0.982
0.250 0.516 0.518
0.250 0.984 0.018
0.750 0.484 0.482
0.750 0.512 0.334
0.250 0.012 0.166
0.250 0.488 0.666
0.750 0.988 0.834
0.750 0.019 0.288
0.250 0.519 0.212
0.250 0.981 0.712
0.750 0.481 0.788
```

E_tot in eV per cell: -73.37
D(E_F) in states/eV/atom: 0.0416

=====

22.
The following is a DFT calculation (PBE) of crystalline SrSb2P at its relaxed geometry.

Cell and atoms, written as POSCAR:
```
SrSb2P
1.0
1.972 5.673 0.007
-1.972 5.673 0.007
0.000 3.296 5.174
Sr Sb P
1 2 1
direct
0.466 0.466 0.578
0.028 0.028 0.994
0.284 0.284 0.283
0.722 0.722 0.646
```

E_tot in eV per cell: -16.75
D(E_F) in states/eV/atom: 0.3922

=====

23.
The following is a DFT calculation (PBE) of crystalline SrSbP2 at its relaxed geometry.

Cell and atoms, written as POSCAR:
```
SrSbP2
1.0
6.122 0.000 0.000
3.281 5.168 0.000
-4.701 -2.584 2.948
P Sb Sr
2 1 1
direct
0.000 0.000 0.000
0.250 0.750 0.500
0.500 0.500 0.000
0.750 0.250 0.500
```

E_tot in eV per cell: -17.05
D(E_F) in states/eV/atom: 0.5441

=====

24.
The following is a DFT calculation (PBE) of crystalline SrSb2P at its relaxed geometry.

Cell and atoms, written as POSCAR:
```
SrSb2P
1.0
-2.023 -3.563 -1.187
3.294 -2.331 1.383
-2.979 -0.431 6.368
Sr Sb P
1 2 1
direct
0.000 0.000 0.655
0.000 0.000 0.153
0.500 0.500 0.022
0.500 0.500 0.670
```

E_tot in eV per cell: -17.07
D(E_F) in states/eV/atom: 0.5703

=====

25.
The following is a DFT calculation (PBE) of crystalline SrSb2P at its relaxed geometry.

Cell and atoms, written as POSCAR:
```
SrSb2P
1.0
-5.604 -0.922 -2.054
-4.857 -3.501 0.797
-3.541 2.401 3.101
Sr Sb P
1 2 1
direct
0.000 0.000 0.500
0.796 0.796 0.156
0.204 0.204 0.844
0.500 0.500 0.000
```

E_tot in eV per cell: -16.81
D(E_F) in states/eV/atom: 0.3765

=====

26.
The following is a DFT calculation (PBE) of crystalline SrSbP2 at its relaxed geometry.

Cell and atoms, written as POSCAR:
```
SrSbP2
1.0
5.551 0.051 0.027
1.115 5.438 -0.027
-2.544 -3.703 3.260
P Sb Sr
2 1 1
direct
0.962 0.962 0.000
0.538 0.538 0.000
0.750 0.250 0.500
0.250 0.750 0.500
```

E_tot in eV per cell: -17.15
D(E_F) in states/eV/atom: 0.6407

=====

27.
The following is a DFT calculation (PBE) of crystalline SrSb2P2 at its relaxed geometry.

Cell and atoms, written as POSCAR:
```
SrSb2P2
1.0
-2.211 3.418 -3.202
-0.951 -5.060 -0.558
-4.613 0.462 3.679
Sr Sb P
1 2 2
direct
0.000 0.000 0.000
0.333 0.667 0.310
0.667 0.333 0.690
0.333 0.667 0.732
0.667 0.333 0.268
```

Excess energy over the best structure of this formula in the dataset in meV/atom: 78
D(E_F) in states/eV/atom: 0.3028